Entry 1:
Entry from the Alexandria database: Mo3SeO after structural relaxation (GGA+U).

Summary:
* space-group type: Pm-3m, No. 221
* energy relative to the lowest polymorph listed for this composition: 0.0 meV/atom
* D(E_F): 0.288 states/eV/atom
* total DFT energy (no corrections): -5.19 eV per atom
* crystal system: cubic

Cell: 4.238 4.238 4.238 Å, 90.00 90.00 90.00°
Each line ends with the local moment (μB).
Element x y z (fractional)
Mo (0.000, 0.500, 0.000)  1.07
Mo (0.500, 0.000, 0.000)  1.14
Mo (0.000, 0.000, 0.500)  1.20
Se (0.500, 0.500, 0.500)  -0.04
O (0.000, 0.000, 0.000)  0.01


Entry 2:
Entry from the Alexandria database: MoSe3O after structural relaxation (GGA+U).

Summary:
* space-group type: Pm-3m, No. 221
* energy relative to the lowest polymorph listed for this composition: 0.0 meV/atom
* D(E_F): 0.608 states/eV/atom
* total DFT energy (no corrections): -3.96 eV per atom
* crystal system: cubic

Cell: 4.532 4.532 4.532 Å, 90.00 90.00 90.00°
Each line ends with the local moment (μB).
Element x y z (fractional)
Se (0.500, 0.000, 0.000)  -0.19
Se (0.000, 0.000, 0.500)  -0.18
Se (0.000, 0.500, 0.000)  -0.29
Mo (0.500, 0.500, 0.500)  3.60
O (0.000, 0.000, 0.000)  -0.03


Entry 3:
Entry from the Alexandria database: MoSeO3 after structural relaxation (GGA+U).

Summary:
* space-group type: P1, No. 1
* total DFT energy (no corrections): -6.09 eV per atom
* crystal system: triclinic

Cell: 6.179 6.955 6.139 Å, 89.81 64.61 61.36°
Element x y z (fractional)
Mo (0.124, 0.938, 0.753)
Mo (0.299, 0.355, 0.743)
O (0.266, 0.120, 0.600)
O (0.645, 0.276, 0.558)
O (0.819, 0.132, 0.010)
O (0.075, 0.836, 0.500)
O (0.267, 0.280, 0.019)
O (0.122, 0.674, 0.867)
Se (0.552, 0.742, 0.854)
Se (0.963, 0.630, 0.491)


Entry 4:
Entry from the Alexandria database: MoSeO3 after structural relaxation (GGA+U).

Summary:
* space-group type: Pm-3m, No. 221
* D(E_F): 0.428 states/eV/atom
* total DFT energy (no corrections): -5.67 eV per atom
* crystal system: cubic

Cell: 3.981 3.981 3.981 Å, 90.00 90.00 90.00°
Each line ends with the local moment (μB).
Element x y z (fractional)
O (0.000, 0.000, 0.500)  0.01
O (0.500, 0.000, 0.000)  -0.16
O (0.000, 0.500, 0.000)  -0.06
Se (0.500, 0.500, 0.500)  0.75
Mo (0.000, 0.000, 0.000)  1.53


Entry 5:
Entry from the Alexandria database: MoSe2O after structural relaxation (GGA+U).

Summary:
* space-group type: R-3m, No. 166
* D(E_F): 0.049 states/eV/atom
* total DFT energy (no corrections): -4.52 eV per atom
* crystal system: trigonal

Cell: 7.499 7.499 7.499 Å, 26.23 26.23 26.23°
Element x y z (fractional)
Mo (0.500, 0.500, 0.500)
O (0.000, 0.000, 0.000)
Se (0.090, 0.090, 0.090)
Se (0.910, 0.910, 0.910)


Entry 6:
Entry from the Alexandria database: MoSeO4 after structural relaxation (GGA+U).

Summary:
* space-group type: I-4, No. 82
* total DFT energy (no corrections): -6.07 eV per atom
* crystal system: tetragonal

Cell: 6.967 6.967 5.417 Å, 130.02 130.02 90.00°
Element x y z (fractional)
Mo (0.500, 0.500, 0.000)
O (0.699, 0.942, 0.471)
O (0.772, 0.529, 0.471)
O (0.471, 0.301, 0.529)
O (0.058, 0.228, 0.529)
Se (0.750, 0.250, 0.500)


Entry 7:
Entry from the Alexandria database: MoSe2O after structural relaxation (GGA+U).

Summary:
* space-group type: I-42d, No. 122
* D(E_F): 0.333 states/eV/atom
* total DFT energy (no corrections): -4.18 eV per atom
* crystal system: tetragonal

Cell: 5.290 5.290 6.969 Å, 67.70 67.70 90.00°
Each line ends with the local moment (μB).
Element x y z (fractional)
O (0.500, 0.500, 0.000)  -0.24
O (0.250, 0.750, 0.500)  -0.24
Se (0.875, 0.841, 0.750)  -0.07
Se (0.159, 0.625, 0.250)  -0.07
Se (0.591, 0.125, 0.250)  -0.06
Se (0.375, 0.409, 0.750)  -0.06
Mo (0.000, 0.000, 0.000)  0.51
Mo (0.750, 0.250, 0.500)  0.50


Entry 8:
Entry from the Alexandria database: SiMoSeO2 after structural relaxation (GGA+U).

Summary:
* space-group type: P4/mmm, No. 123
* D(E_F): 0.085 states/eV/atom
* total DFT energy (no corrections): -5.98 eV per atom
* crystal system: tetragonal

Cell: 3.611 5.502 3.611 Å, 90.00 90.00 90.00°
Each line ends with the local moment (μB).
Element x y z (fractional)
Se (0.000, 0.500, 0.000)  -0.02
O (0.500, 0.000, 0.000)  0.06
O (0.000, 0.000, 0.500)  0.06
Si (0.000, 0.000, 0.000)  0.01
Mo (0.500, 0.500, 0.500)  3.52


Entry 9:
Entry from the Alexandria database: SrMo2Se2O11 after structural relaxation (GGA+U).

Summary:
* space-group type: P-1, No. 2
* D(E_F): 0.000 states/eV/atom
* total DFT energy (no corrections): -6.36 eV per atom
* crystal system: triclinic

Cell: 8.288 8.258 8.960 Å, 83.64 113.94 112.34°
Element x y z (fractional)
O (0.744, 0.960, 0.791)
O (0.633, 0.369, 0.284)
O (0.666, 0.514, 0.663)
O (0.256, 0.040, 0.209)
O (0.723, 0.827, 0.076)
O (0.326, 0.900, 0.550)
O (0.367, 0.631, 0.716)
O (0.674, 0.100, 0.450)
O (0.070, 0.813, 0.930)
O (0.334, 0.486, 0.337)
O (0.599, 0.092, 0.127)
O (0.930, 0.187, 0.070)
O (0.931, 0.606, 0.219)
O (0.375, 0.780, 0.194)
O (0.756, 0.713, 0.378)
O (0.401, 0.908, 0.873)
O (0.404, 0.523, 0.063)
O (0.625, 0.220, 0.806)
O (0.596, 0.477, 0.937)
O (0.277, 0.173, 0.924)
O (0.069, 0.394, 0.781)
O (0.244, 0.287, 0.622)
Sr (0.572, 0.775, 0.524)
Sr (0.428, 0.225, 0.476)
Mo (0.714, 0.029, 0.951)
Mo (0.283, 0.380, 0.806)
Mo (0.286, 0.971, 0.049)
Mo (0.717, 0.620, 0.194)
Se (0.746, 0.447, 0.855)
Se (0.751, 0.223, 0.312)
Se (0.254, 0.553, 0.145)
Se (0.249, 0.777, 0.688)


Entry 10:
Entry from the Alexandria database: SrMoSeO2 after structural relaxation (GGA+U).

Summary:
* space-group type: P4mm, No. 99
* D(E_F): 0.085 states/eV/atom
* total DFT energy (no corrections): -6.18 eV per atom
* crystal system: tetragonal

Cell: 4.062 4.062 5.727 Å, 90.00 90.00 90.00°
Each line ends with the local moment (μB).
Element x y z (fractional)
O (0.500, 0.000, 0.946)  -0.01
O (0.000, 0.500, 0.946)  -0.01
Sr (0.500, 0.500, 0.656)  0.01
Se (0.000, 0.000, 0.449)  -0.01
Mo (0.000, 0.000, 0.003)  1.93


Entry 11:
Entry from the Alexandria database: TcMoSe2O after structural relaxation (GGA+U).

Summary:
* space-group type: P4/mmm, No. 123
* D(E_F): 0.796 states/eV/atom
* total DFT energy (no corrections): -4.95 eV per atom
* crystal system: tetragonal

Cell: 4.642 5.801 4.642 Å, 90.00 90.00 90.00°
Each line ends with the local moment (μB).
Element x y z (fractional)
Mo (0.000, 0.500, 0.000)  3.76
Tc (0.000, 0.000, 0.000)  -0.09
O (0.500, 0.500, 0.500)  -0.89
Se (0.500, 0.000, 0.000)  -0.01
Se (0.000, 0.000, 0.500)  -0.05


Entry 12:
Entry from the Alexandria database: TlMoSe2O8 after structural relaxation (GGA+U).

Summary:
* space-group type: C2/m, No. 12
* D(E_F): 0.080 states/eV/atom
* total DFT energy (no corrections): -5.53 eV per atom
* crystal system: monoclinic

Cell: 5.759 5.759 8.284 Å, 95.48 95.48 56.72°
Each line ends with the local moment (μB).
Element x y z (fractional)
O (0.723, 0.242, 0.824)  0.06
O (0.313, 0.313, 0.604)  0.06
O (0.687, 0.687, 0.396)  0.06
O (0.242, 0.723, 0.824)  0.06
O (0.822, 0.822, 0.011)  0.27
O (0.758, 0.277, 0.176)  0.06
O (0.178, 0.178, 0.989)  0.27
O (0.277, 0.758, 0.176)  0.06
Mo (0.000, 0.000, 0.000)  -0.09
Se (0.639, 0.639, 0.199)  0.05
Se (0.361, 0.361, 0.801)  0.05
Tl (0.000, 0.000, 0.500)  0.01


Entry 13:
Entry from the Alexandria database: Tl2Mo3SeO12 after structural relaxation (GGA+U).

Summary:
* space-group type: P31c, No. 159
* D(E_F): 0.000 states/eV/atom
* total DFT energy (no corrections): -6.30 eV per atom
* crystal system: trigonal

Cell: 7.385 7.385 12.452 Å, 90.00 90.00 120.00°
Element x y z (fractional)
O (0.087, 0.548, 0.387)
O (0.460, 0.913, 0.387)
O (0.751, 0.880, 0.945)
O (0.198, 0.405, 0.569)
O (0.540, 0.452, 0.887)
O (0.880, 0.751, 0.445)
O (0.248, 0.126, 0.764)
O (0.913, 0.460, 0.887)
O (0.120, 0.871, 0.945)
O (0.871, 0.120, 0.445)
O (0.878, 0.752, 0.764)
O (0.802, 0.208, 0.069)
O (0.126, 0.248, 0.264)
O (0.792, 0.595, 0.069)
O (0.208, 0.802, 0.569)
O (0.452, 0.540, 0.387)
O (0.752, 0.878, 0.264)
O (0.874, 0.122, 0.764)
O (0.249, 0.129, 0.445)
O (0.548, 0.087, 0.887)
O (0.122, 0.874, 0.264)
O (0.595, 0.792, 0.569)
O (0.129, 0.249, 0.945)
O (0.405, 0.198, 0.069)
Mo (0.661, 0.801, 0.434)
Mo (0.140, 0.339, 0.434)
Mo (0.860, 0.199, 0.934)
Mo (0.801, 0.661, 0.934)
Mo (0.199, 0.860, 0.434)
Mo (0.339, 0.140, 0.934)
Tl (0.667, 0.333, 0.251)
Tl (0.333, 0.667, 0.751)
Tl (0.333, 0.667, 0.171)
Tl (0.667, 0.333, 0.671)
Se (0.000, 0.000, 0.205)
Se (0.000, 0.000, 0.705)


Entry 14:
Entry from the Alexandria database: YMoSeO2 after structural relaxation (GGA+U).

Summary:
* space-group type: P4/mmm, No. 123
* D(E_F): 0.324 states/eV/atom
* total DFT energy (no corrections): -5.30 eV per atom
* crystal system: tetragonal

Cell: 4.259 4.926 4.259 Å, 90.00 90.00 90.00°
Each line ends with the local moment (μB).
Element x y z (fractional)
O (0.500, 0.000, 0.000)  0.10
O (0.000, 0.000, 0.500)  0.13
Mo (0.000, 0.500, 0.000)  3.02
Y (0.500, 0.500, 0.500)  -0.12
Se (0.000, 0.000, 0.000)  -0.14


Entry 15:
Entry from the Alexandria database: SiMoO2 after structural relaxation (GGA+U).

Summary:
* space-group type: R-3m, No. 166
* D(E_F): 0.313 states/eV/atom
* total DFT energy (no corrections): -6.56 eV per atom
* crystal system: trigonal

Cell: 6.717 6.717 6.717 Å, 24.00 24.00 24.00°
Each line ends with the local moment (μB).
Element x y z (fractional)
O (0.907, 0.907, 0.907)  0.01
O (0.093, 0.093, 0.093)  0.01
Mo (0.500, 0.500, 0.500)  0.50
Si (0.000, 0.000, 0.000)  0.00


Entry 16:
Entry from the Alexandria database: SiMo2O after structural relaxation (GGA+U).

Summary:
* space-group type: Fm-3m, No. 225
* energy relative to the lowest polymorph listed for this composition: 335.7 meV/atom
* D(E_F): 0.479 states/eV/atom
* total DFT energy (no corrections): -5.51 eV per atom
* crystal system: cubic

Cell: 4.233 4.233 4.233 Å, 60.00 60.00 60.00°
Each line ends with the local moment (μB).
Element x y z (fractional)
Mo (0.250, 0.250, 0.250)  1.11
Mo (0.750, 0.750, 0.750)  1.11
O (0.000, 0.000, 0.000)  -0.17
Si (0.500, 0.500, 0.500)  -0.14


Entry 17:
Entry from the Alexandria database: Si2MoO after structural relaxation (GGA+U).

Summary:
* space-group type: I-42d, No. 122
* D(E_F): 0.295 states/eV/atom
* total DFT energy (no corrections): -5.68 eV per atom
* crystal system: tetragonal

Cell: 5.768 5.768 5.281 Å, 56.90 56.90 90.00°
Each line ends with the local moment (μB).
Element x y z (fractional)
Si (0.541, 0.125, 0.250)  -0.08
Si (0.875, 0.791, 0.750)  -0.08
Si (0.209, 0.625, 0.250)  -0.08
Si (0.375, 0.459, 0.750)  -0.08
O (0.250, 0.750, 0.500)  0.02
O (0.500, 0.500, 0.000)  0.02
Mo (0.750, 0.250, 0.500)  2.07
Mo (0.000, 0.000, 0.000)  2.07


Entry 18:
Entry from the Alexandria database: SiMo2O after structural relaxation (GGA+U).

Summary:
* space-group type: I-42d, No. 122
* energy relative to the lowest polymorph listed for this composition: 0.0 meV/atom
* D(E_F): 0.424 states/eV/atom
* total DFT energy (no corrections): -5.85 eV per atom
* crystal system: tetragonal

Cell: 5.324 5.324 6.367 Å, 65.28 65.28 90.00°
Each line ends with the local moment (μB).
Element x y z (fractional)
O (0.250, 0.750, 0.500)  -0.03
O (0.500, 0.500, 0.000)  -0.04
Si (0.750, 0.250, 0.500)  -0.13
Si (0.000, 0.000, 0.000)  -0.13
Mo (0.875, 0.812, 0.750)  2.13
Mo (0.188, 0.625, 0.250)  2.12
Mo (0.562, 0.125, 0.250)  2.13
Mo (0.375, 0.438, 0.750)  2.13


Entry 19:
Entry from the Alexandria database: SiMoO2 after structural relaxation (GGA+U).

Summary:
* space-group type: I4_1/amd, No. 141
* D(E_F): 0.270 states/eV/atom
* total DFT energy (no corrections): -6.13 eV per atom
* crystal system: tetragonal

Cell: 5.429 5.429 5.394 Å, 59.79 59.79 90.00°
Each line ends with the local moment (μB).
Element x y z (fractional)
O (0.875, 0.625, 0.750)  0.02
O (0.375, 0.125, 0.250)  0.03
O (0.375, 0.625, 0.250)  0.02
O (0.375, 0.625, 0.750)  0.03
Mo (0.750, 0.250, 0.500)  1.10
Mo (0.000, 0.000, 0.000)  1.10
Si (0.500, 0.500, 0.000)  -0.01
Si (0.250, 0.750, 0.500)  -0.01


Entry 20:
Entry from the Alexandria database: SiMoO3 after structural relaxation (GGA+U).

Summary:
* space-group type: Pm-3m, No. 221
* D(E_F): 0.542 states/eV/atom
* total DFT energy (no corrections): -6.27 eV per atom
* crystal system: cubic

Cell: 3.977 3.977 3.977 Å, 90.00 90.00 90.00°
Each line ends with the local moment (μB).
Element x y z (fractional)
O (0.000, 0.500, 0.000)  -0.02
O (0.000, 0.000, 0.500)  -0.04
O (0.500, 0.000, 0.000)  -0.07
Mo (0.000, 0.000, 0.000)  1.80
Si (0.500, 0.500, 0.500)  0.08